# 1
This record from Alexandria describes a relaxed structure of MgInI4. The functional is PBE.

a b c (Å): 16.9128 4.2704 7.6716
angles (deg): 90.00 116.67 90.00
Last column: nearest neighbours and their distance in Å.
Space group C2/m (No. 12)
One atom of each set of equivalent atoms:
Mg 0.0000 0.0000 0.0000 (multiplicity 2)  6 I 2.95-2.96
In 0.0000 0.5000 0.5000 (multiplicity 2)  6 I 3.14-3.17
I 0.1124 0.5000 0.2622 (multiplicity 4)  2 Mg 2.96, 1 In 3.17
I 0.1174 0.0000 0.8086 (multiplicity 4)  1 Mg 2.95, 2 In 3.14

ΔE_f (raw) = -411 kJ/mol of formula units
DOS(E_F) = 6.86 states/eV per cell
electronic total energy = -14.8 eV per formula unit

=====

# 2
This record from Alexandria describes a relaxed structure of Mg2InI2. The functional is PBE.

a b c (Å): 5.5685 5.5685 10.9405
angles (deg): 90.00 90.00 90.00
Last column: nearest neighbours and their distance in Å.
Space group I4/mmm (No. 139)
One atom of each set of equivalent atoms:
Mg 0.0000 0.0000 0.1300 (multiplicity 4)  1 Mg 2.84, 4 I 3.08
In 0.0000 0.0000 0.5000 (multiplicity 2)  8 I 3.90, 10 Mg 4.05-4.19
I 0.0000 0.5000 0.2500 (multiplicity 4)  4 Mg 3.08

ΔE_f (raw) = -99 kJ/mol of formula units
relative energy among the computed polymorphs = 3 meV/atom
DOS(E_F) = 5.77 states/eV per cell
electronic total energy = -10.1 eV per formula unit

=====

# 3
This record from Alexandria describes a relaxed structure of Mg2In2I. The functional is PBE.

a b c (Å): 8.7303 8.7303 3.6605
angles (deg): 90.00 90.00 90.00
Last column: nearest neighbours and their distance in Å.
Space group P4/mbm (No. 127)
One atom of each set of equivalent atoms:
Mg 0.1815 0.3185 0.0000 (multiplicity 4)  6 In 3.07-3.25, 2 I 3.20
In 0.1190 0.6190 0.5000 (multiplicity 4)  1 In 2.94, 6 Mg 3.07-3.25
I 0.0000 0.0000 0.0000 (multiplicity 2)  4 Mg 3.20

ΔE_f (raw) = -56 kJ/mol of formula units
DOS(E_F) = 3.16 states/eV per cell
electronic total energy = -10.8 eV per formula unit

=====

# 4
This record from Alexandria describes a relaxed structure of MgIn2I4. The functional is PBE.

a b c (Å): 5.7920 5.7920 17.1567
angles (deg): 90.00 90.00 90.00
Last column: nearest neighbours and their distance in Å.
Space group I4/mmm (No. 139)
One atom of each set of equivalent atoms:
Mg 0.0000 0.0000 0.0000 (multiplicity 2)  6 I 2.90
In 0.0000 0.0000 0.3640 (multiplicity 4)  5 I 3.34-3.72
I 0.0000 0.0000 0.1692 (multiplicity 4)  1 Mg 2.90
I 0.0000 0.5000 0.0000 (multiplicity 4)  2 Mg 2.90

ΔE_f (raw) = -422 kJ/mol of formula units
relative energy among the computed polymorphs = 34 meV/atom
DOS(E_F) = 0.00 states/eV per cell
electronic total energy = -17.6 eV per formula unit

=====

# 5
This record from Alexandria describes a relaxed structure of Mg2InI. The functional is PBE.

a b c (Å): 7.6740 7.6740 7.6740
angles (deg): 90.00 90.00 90.00
Last column: nearest neighbours and their distance in Å.
Space group Fm-3m (No. 225)
One atom of each set of equivalent atoms:
Mg 0.2500 0.2500 0.2500 (multiplicity 8)  4 In 3.32, 4 I 3.32
In 0.0000 0.0000 0.0000 (multiplicity 4)  8 Mg 3.32
I 0.0000 0.0000 0.5000 (multiplicity 4)  8 Mg 3.32

ΔE_f (raw) = 45 kJ/mol of formula units
relative energy among the computed polymorphs = 130 meV/atom
DOS(E_F) = 18.27 states/eV per cell
electronic total energy = -7.0 eV per formula unit

=====

# 6
This record from Alexandria describes a relaxed structure of Mg3InI. The functional is PBE.

a b c (Å): 5.4565 5.4565 5.4565
angles (deg): 90.00 90.00 90.00
Last column: nearest neighbours and their distance in Å.
Space group Pm-3m (No. 221)
One atom of each set of equivalent atoms:
Mg 0.0000 0.0000 0.5000 (multiplicity 3)  2 In 2.73
In 0.0000 0.0000 0.0000 (multiplicity 1)  6 Mg 2.73
I 0.5000 0.5000 0.5000 (multiplicity 1)  12 Mg 3.86

ΔE_f (raw) = -26 kJ/mol of formula units
relative energy among the computed polymorphs = 0 meV/atom
DOS(E_F) = 0.00 states/eV per cell
electronic total energy = -9.3 eV per formula unit